[1]
Compound: SrTe2PdN
Source: Alexandria
Functional: PBE-GGA
Structure: relaxed

Cell: 6.170 6.170 4.718 Å, 90.00 90.00 90.00°
Atoms (fractional coordinates):
1 Sr 0.000 0.000 0.000
2 Te 0.000 0.500 0.000
3 Te 0.500 0.000 0.000
4 Pd 0.500 0.500 0.500
5 N 0.000 0.000 0.500

Computed properties:
- E_tot (eV/atom) = -3.2039
- magnetic moment (μB per cell) = 2.38
- energy relative to the lowest polymorph listed for this composition (meV per atom) = 1193
- formation energy without anion corrections (eV/f.u.) = 5.5

[2]
Compound: BeSb2Mo2
Source: Alexandria
Functional: PBE-GGA
Structure: relaxed

Cell: 7.441 7.441 3.350 Å, 90.00 90.00 90.00°
Atoms (fractional coordinates):
1 Be 0.000 0.000 0.000
2 Be 0.500 0.500 0.000
3 Sb 0.154 0.346 0.000
4 Sb 0.346 0.846 0.000
5 Sb 0.654 0.154 0.000
6 Sb 0.846 0.654 0.000
7 Mo 0.145 0.645 0.500
8 Mo 0.355 0.145 0.500
9 Mo 0.645 0.855 0.500
10 Mo 0.855 0.355 0.500

Computed properties:
- E_tot (eV/atom) = -6.0521
- magnetic moment (μB per cell) = 0.00
- energy relative to the lowest polymorph listed for this composition (meV per atom) = 5
- formation energy without anion corrections (eV/f.u.) = 3.4

[3]
Compound: TeAs2Ir
Source: Alexandria
Functional: PBE-GGA
Structure: relaxed

Cell: 3.488 3.488 7.076 Å, 90.00 90.00 90.00°
Atoms (fractional coordinates):
1 Te 0.000 0.000 0.000
2 As 0.000 0.000 0.581
3 As 0.500 0.500 0.437
4 Ir 0.500 0.500 0.816

Computed properties:
- E_tot (eV/atom) = -5.0242
- magnetic moment (μB per cell) = 0.00
- formation energy without anion corrections (eV/f.u.) = 1.2

[4]
Compound: NbAg2O
Source: Alexandria
Functional: PBE-GGA
Structure: relaxed

Cell: 6.460 6.460 6.460 Å, 95.44 95.44 144.13°
Atoms (fractional coordinates):
1 Nb 0.000 0.000 0.000
2 Nb 0.750 0.250 0.500
3 Ag 0.226 0.625 0.101
4 Ag 0.375 0.476 0.601
5 Ag 0.524 0.125 0.899
6 Ag 0.875 0.774 0.399
7 O 0.250 0.750 0.500
8 O 0.500 0.500 0.000

Computed properties:
- E_tot (eV/atom) = -5.1903
- magnetic moment (μB per cell) = 2.26
- formation energy without anion corrections (eV/f.u.) = 0.0

[5]
Compound: Sr6InRh2
Source: Alexandria
Functional: PBE-GGA
Structure: relaxed

Cell: 9.362 9.362 9.362 Å, 114.14 113.09 101.47°
Atoms (fractional coordinates):
1 Sr 0.043 0.243 0.800
2 Sr 0.175 0.301 0.476
3 Sr 0.175 0.699 0.874
4 Sr 0.346 0.022 0.676
5 Sr 0.346 0.670 0.324
6 Sr 0.443 0.243 0.200
7 Sr 0.557 0.757 0.800
8 Sr 0.654 0.330 0.676
9 Sr 0.654 0.978 0.324
10 Sr 0.825 0.301 0.126
11 Sr 0.825 0.699 0.524
12 Sr 0.957 0.757 0.200
13 In 0.000 0.000 0.000
14 In 0.500 0.500 0.000
15 Rh 0.137 0.637 0.500
16 Rh 0.273 0.000 0.273
17 Rh 0.727 0.000 0.727
18 Rh 0.863 0.363 0.500

Computed properties:
- E_tot (eV/atom) = -3.3145
- formation energy from the elements (eV per formula unit) = -2.30
- magnetic moment (μB per cell) = 0.00

[6]
Compound: Li2AcLaSi2
Source: Alexandria
Functional: PBE-GGA
Structure: relaxed

Cell: 4.591 4.591 7.968 Å, 90.00 90.00 120.00°
Atoms (fractional coordinates):
1 Li 0.333 0.667 0.222
2 Li 0.667 0.333 0.778
3 Ac 0.000 0.000 0.500
4 La 0.000 0.000 0.000
5 Si 0.333 0.667 0.765
6 Si 0.667 0.333 0.235

Computed properties:
- E_tot (eV/atom) = -4.4531
- magnetic moment (μB per cell) = 0.00
- formation energy without anion corrections (eV/f.u.) = -3.0

- Number 5 is which compound?
  Sr6InRh2

- Which formula does entry 4 have?
  NbAg2O

- Among the records above, which one has the highest E_tot?
  SrTe2PdN

- Number 1 is which compound?
  SrTe2PdN